[1]
Crystalline TbGd2FeSn3Ir2 at its relaxed geometry, computed with PBE.

Properties
Space-group type: Amm2, No. 38
Energy, eV per atom: -6.451

Cell: 3.7945 7.6183 7.6183 Å, 119.96 90.00 90.00°
Fractional coordinates of all 9 atoms:
1 Tb 0.0000 0.0000 0.0000
2 Gd 0.0000 0.4093 0.8186
3 Gd 0.0000 0.8186 0.4093
4 Fe 0.0000 0.4088 0.4088
5 Sn 0.5000 0.1535 0.4089
6 Sn 0.5000 0.4089 0.1535
7 Sn 0.5000 0.6652 0.6652
8 Ir 0.5000 0.0756 0.7435
9 Ir 0.5000 0.7435 0.0756

***

[2]
Crystalline Gd2TmFeSn3Ir2 at its relaxed geometry, computed with PBE.

Properties
Space-group type: Amm2, No. 38
Energy, eV per atom: -6.438

Cell: 3.7574 7.6067 7.6067 Å, 119.77 90.00 90.00°
Fractional coordinates of all 9 atoms:
1 Gd 0.0000 0.2040 0.7960
2 Gd 0.0000 0.7960 0.2040
3 Tm 0.0000 0.3883 0.3883
4 Fe 0.0000 0.7942 0.7942
5 Sn 0.5000 0.0540 0.0540
6 Sn 0.5000 0.5386 0.7942
7 Sn 0.5000 0.7942 0.5386
8 Ir 0.5000 0.1334 0.4612
9 Ir 0.5000 0.4612 0.1334

***

[3]
Crystalline GdTm2FeSn3Ir2 at its relaxed geometry, computed with PBE.

Properties
Space-group type: Amm2, No. 38
Energy, eV per atom: -6.426

Cell: 3.7377 7.5941 7.5941 Å, 120.25 90.00 90.00°
Fractional coordinates of all 9 atoms:
1 Gd 0.0000 0.0000 0.0000
2 Tm 0.0000 0.4072 0.8139
3 Tm 0.0000 0.8139 0.4072
4 Fe 0.0000 0.4092 0.4092
5 Sn 0.5000 0.1506 0.4086
6 Sn 0.5000 0.4086 0.1506
7 Sn 0.5000 0.6634 0.6634
8 Ir 0.5000 0.0754 0.7366
9 Ir 0.5000 0.7366 0.0754

***

[4]
Crystalline KGdFeS3 at its relaxed geometry, computed with PBE.

Properties
Space-group type: Cmcm, No. 63
Energy, eV per atom: -5.734

Cell: 7.3739 7.3739 10.5391 Å, 90.00 90.00 148.46°
Fractional coordinates of all 12 atoms:
1 K 0.2457 0.7543 0.7500
2 K 0.7543 0.2457 0.2500
3 Gd 0.5000 0.5000 0.0000
4 Gd 0.5000 0.5000 0.5000
5 Fe 0.0282 0.9718 0.2500
6 Fe 0.9718 0.0282 0.7500
7 S 0.1219 0.8781 0.0739
8 S 0.1219 0.8781 0.4261
9 S 0.4366 0.5634 0.2500
10 S 0.5634 0.4366 0.7500
11 S 0.8781 0.1219 0.5739
12 S 0.8781 0.1219 0.9261

***

[5]
Crystalline KGdFeS3 at its relaxed geometry, computed with PBE.

Properties
Space-group type: P2_1/m, No. 11
Energy, eV per atom: -5.748

Cell: 8.8049 3.9775 9.2608 Å, 90.00 106.72 90.00°
Fractional coordinates of all 12 atoms:
1 K 0.2062 0.2500 0.2349
2 K 0.7938 0.7500 0.7651
3 Gd 0.3334 0.7500 0.8514
4 Gd 0.6666 0.2500 0.1486
5 Fe 0.0755 0.2500 0.5927
6 Fe 0.9245 0.7500 0.4073
7 S 0.1097 0.2500 0.8462
8 S 0.1961 0.7500 0.5323
9 S 0.4555 0.7500 0.1581
10 S 0.5445 0.2500 0.8419
11 S 0.8039 0.2500 0.4677
12 S 0.8903 0.7500 0.1538

***

[6]
Crystalline KGdFeS3 at its relaxed geometry, computed with PBE.

Properties
Space-group type: Pnma, No. 62
Energy, eV per atom: -5.691

Cell: 10.8809 4.1218 11.9964 Å, 90.00 90.00 90.00°
Fractional coordinates of all 24 atoms:
1 K 0.1701 0.2500 0.0054
2 K 0.3299 0.7500 0.5054
3 K 0.6701 0.2500 0.4946
4 K 0.8299 0.7500 0.9946
5 Gd 0.0182 0.2500 0.6739
6 Gd 0.4818 0.7500 0.1739
7 Gd 0.5182 0.2500 0.8261
8 Gd 0.9818 0.7500 0.3261
9 Fe 0.2428 0.2500 0.2908
10 Fe 0.2572 0.7500 0.7908
11 Fe 0.7428 0.2500 0.2092
12 Fe 0.7572 0.7500 0.7092
13 S 0.0530 0.7500 0.8289
14 S 0.1070 0.2500 0.4389
15 S 0.2164 0.7500 0.2018
16 S 0.2836 0.2500 0.7018
17 S 0.3930 0.7500 0.9389
18 S 0.4470 0.2500 0.3289
19 S 0.5530 0.7500 0.6711
20 S 0.6070 0.2500 0.0611
21 S 0.7164 0.7500 0.2982
22 S 0.7836 0.2500 0.7982
23 S 0.8930 0.7500 0.5611
24 S 0.9470 0.2500 0.1711

***

[7]
Crystalline KGdFeTe3 at its relaxed geometry, computed with PBE.

Properties
Space-group type: Cmcm, No. 63
Energy, eV per atom: -4.781

Cell: 8.2650 8.2650 11.5163 Å, 90.00 90.00 149.36°
Fractional coordinates of all 12 atoms:
1 K 0.2498 0.7502 0.7500
2 K 0.7502 0.2498 0.2500
3 Gd 0.0000 0.0000 0.0000
4 Gd 0.0000 0.0000 0.5000
5 Fe 0.4688 0.5312 0.2500
6 Fe 0.5312 0.4688 0.7500
7 Te 0.0706 0.9294 0.2500
8 Te 0.3705 0.6295 0.0666
9 Te 0.3705 0.6295 0.4334
10 Te 0.6295 0.3705 0.5666
11 Te 0.6295 0.3705 0.9334
12 Te 0.9294 0.0706 0.7500

***

[8]
Crystalline KGdFeTe3 at its relaxed geometry, computed with PBE.

Properties
Space-group type: P2_1/m, No. 11
Energy, eV per atom: -4.802

Cell: 9.7747 4.3084 10.2174 Å, 90.00 107.95 90.00°
Fractional coordinates of all 12 atoms:
1 K 0.2100 0.2500 0.2419
2 K 0.7900 0.7500 0.7581
3 Gd 0.3264 0.7500 0.8585
4 Gd 0.6736 0.2500 0.1415
5 Fe 0.0660 0.2500 0.5802
6 Fe 0.9340 0.7500 0.4198
7 Te 0.0947 0.2500 0.8483
8 Te 0.2150 0.7500 0.5323
9 Te 0.4595 0.7500 0.1734
10 Te 0.5405 0.2500 0.8266
11 Te 0.7850 0.2500 0.4677
12 Te 0.9053 0.7500 0.1517